BaVSeN2 PBE relaxed; energy relative to the elements, uncorrected = 1.973 eV/atom; space-group type = P4/mmm, No. 123; DFT total energy = -4.263 eV per atom; energy relative to the lowest polymorph listed for this composition = 2216 meV per atom
1.0
4.302 0.000 0.000
0.000 4.302 0.000
0.000 0.000 6.412
Ba V Se N
1 1 1 2
Cartesian
0.000 0.000 0.000 Ba
2.151 2.151 3.206 V
0.000 0.000 3.206 Se
0.000 2.151 0.000 N
2.151 0.000 0.000 N